Computed, not measured: an optimized crystal structure of YRe2Mo at the PBE-GGA level of DFT.

Properties
- total energy (eV per formula unit) = -40.8
- DOS(E_F) (states/eV/cell) = 3.00
- M_tot (μB/cell) = 0.00
- energy above the most stable polymorph in this dataset (eV/atom) = 0.164

Cell and atoms, written as POSCAR:
```
YRe2Mo
1.0
4.483 0.000 0.000
0.000 2.887 -0.005
0.000 0.951 5.408
Mo Re Y
1 2 1
direct
0.500 0.750 0.750
0.000 0.986 0.975
0.000 0.514 0.525
0.500 0.250 0.250
```



Computed, not measured: an optimized crystal structure of TmGa4Ir2Os at the PBE-GGA level of DFT.

Properties
- total energy (eV per formula unit) = -48.8
- DOS(E_F) (states/eV/cell) = 2.91
- M_tot (μB/cell) = 0.00

Cell and atoms, written as POSCAR:
```
TmGa4Ir2Os
1.0
-3.192 1.200 -2.552
-2.016 -2.891 -2.392
-7.172 -1.885 4.529
Tm Ga Ir Os
1 4 2 1
direct
0.000 0.000 0.000
0.397 0.397 0.809
0.868 0.868 0.395
0.132 0.132 0.605
0.603 0.603 0.191
0.757 0.757 0.730
0.243 0.243 0.270
0.500 0.500 0.500
```



Computed, not measured: an optimized crystal structure of Pa2CdS6 at the PBE-GGA level of DFT.

Properties
- total energy (eV per formula unit) = -56.3
- formation energy without anion corrections (eV per atom) = -1.2882
- M_tot (μB/cell) = 0.00

Cell and atoms, written as POSCAR:
```
Pa2CdS6
1.0
0.251 -6.233 -2.555
3.475 1.005 -2.109
9.674 -12.284 10.088
Pa Cd S
4 2 12
direct
0.938 0.922 0.808
0.562 0.422 0.692
0.438 0.578 0.308
0.062 0.078 0.192
0.500 0.500 0.000
0.000 0.000 0.500
0.834 0.579 0.175
0.839 0.923 0.675
0.782 0.943 0.960
0.718 0.443 0.540
0.661 0.423 0.825
0.666 0.079 0.325
0.166 0.421 0.825
0.161 0.077 0.325
0.218 0.057 0.040
0.282 0.557 0.460
0.339 0.577 0.175
0.334 0.921 0.675
```



Computed, not measured: an optimized crystal structure of NiAgBr4 at the PBE-GGA level of DFT.

Properties
- total energy (eV per formula unit) = -16.8
- DOS(E_F) (states/eV/cell) = 6.53
- formation energy without anion corrections (eV per atom) = -0.2524
- M_tot (μB/cell) = 2.16
- energy above the most stable polymorph in this dataset (eV/atom) = 0.000

Cell and atoms, written as POSCAR:
```
NiAgBr4
1.0
-0.032 3.671 -0.336
-2.802 0.595 6.774
7.179 0.006 -0.626
Ni Ag Br
1 1 4
direct
0.000 0.500 0.500
0.500 0.500 0.000
0.000 0.290 0.710
0.000 0.710 0.290
0.500 0.274 0.276
0.500 0.726 0.724
```



Computed, not measured: an optimized crystal structure of MgGa2Pd2 at the PBE-GGA level of DFT.

Properties
- total energy (eV per formula unit) = -20.9
- DOS(E_F) (states/eV/cell) = 1.73
- M_tot (μB/cell) = 0.00
- energy above the most stable polymorph in this dataset (eV/atom) = 0.026

Cell and atoms, written as POSCAR:
```
MgGa2Pd2
1.0
7.189 0.000 0.000
0.000 7.189 0.000
0.000 0.000 3.159
Mg Ga Pd
2 4 4
direct
0.000 0.000 0.000
0.500 0.500 0.000
0.150 0.650 0.500
0.650 0.850 0.500
0.850 0.350 0.500
0.350 0.150 0.500
0.352 0.852 0.000
0.852 0.648 0.000
0.648 0.148 0.000
0.148 0.352 0.000
```



Computed, not measured: an optimized crystal structure of TaMo2Ir at the PBE-GGA level of DFT.

Properties
- total energy (eV per formula unit) = -43.0
- DOS(E_F) (states/eV/cell) = 4.34
- M_tot (μB/cell) = 0.00
- energy above the most stable polymorph in this dataset (eV/atom) = 0.001

Cell and atoms, written as POSCAR:
```
TaMo2Ir
1.0
-2.604 -2.112 -0.510
1.943 -2.964 2.356
-2.010 1.593 3.661
Ir Mo Ta
1 2 1
direct
0.000 0.500 0.500
0.000 0.000 0.000
0.500 0.500 0.000
0.500 0.000 0.500
```



Computed, not measured: an optimized crystal structure of TaPd4Pt3 at the PBE-GGA level of DFT.

Properties
- total energy (eV per formula unit) = -52.0
- DOS(E_F) (states/eV/cell) = 7.77
- M_tot (μB/cell) = 0.00

Cell and atoms, written as POSCAR:
```
TaPd4Pt3
1.0
-1.059 -1.541 -2.077
3.686 5.251 -5.778
3.159 -4.965 3.954
Pt Pd Ta
3 4 1
direct
0.208 0.208 0.416
0.792 0.792 0.584
0.000 0.500 0.000
0.375 0.609 0.749
0.625 0.391 0.251
0.625 0.860 0.251
0.375 0.140 0.749
0.500 0.000 0.000
```



Computed, not measured: an optimized crystal structure of RbLiBi2 at the PBE-GGA level of DFT.

Properties
- total energy (eV per formula unit) = -11.4
- DOS(E_F) (states/eV/cell) = 2.37
- M_tot (μB/cell) = 0.00
- energy above the most stable polymorph in this dataset (eV/atom) = 0.086

Cell and atoms, written as POSCAR:
```
RbLiBi2
1.0
-3.181 1.290 -1.188
-3.109 -1.403 1.248
-2.151 7.252 8.079
Bi Rb Li
2 1 1
direct
0.737 0.737 0.789
0.263 0.263 0.211
0.500 0.500 0.500
0.000 0.000 0.000
```